# 1
Entry from Alexandria: crystalline Ce4Pu2Tl3 at its relaxed geometry (GGA-PBE).

Properties
relative energy among the computed polymorphs	0.008	eV/atom
formation energy	-0.1314	eV per atom
theoretical density	11.5	g/cm3
crystal system	triclinic

Cell: 5.6164 9.2049 9.8462 Å, 72.26 83.60 88.47°
Fractional coordinates of all 18 atoms:
Ce1 0.0532 0.3480 0.0614
Ce2 0.2399 0.2588 0.4808
Ce3 0.2875 0.9754 0.2715
Ce4 0.4278 0.4148 0.1951
Ce5 0.5722 0.5852 0.8049
Ce6 0.7125 0.0246 0.7285
Ce7 0.7601 0.7412 0.5192
Ce8 0.9468 0.6520 0.9386
Pu1 0.0989 0.0800 0.8532
Pu2 0.3868 0.6755 0.3940
Pu3 0.6132 0.3245 0.6060
Pu4 0.9011 0.9200 0.1468
Tl1 0.0925 0.4579 0.7031
Tl2 0.2357 0.8751 0.6286
Tl3 0.4264 0.7920 0.0334
Tl4 0.5736 0.2080 0.9666
Tl5 0.7643 0.1249 0.3714
Tl6 0.9075 0.5421 0.2969

***

# 2
Entry from Alexandria: crystalline KNdCuCl5 at its relaxed geometry (GGA-PBE).

Properties
theoretical density	2.8	g/cm3
E_form (uncorrected)	-13.82	eV per formula unit
crystal system	monoclinic

Cell: 7.4383 7.4383 10.1718 Å, 103.36 103.36 107.15°
Fractional coordinates of all 16 atoms:
K1 0.1447 0.8553 0.7500
K2 0.8553 0.1447 0.2500
Nd1 0.5000 0.5000 0.0000
Nd2 0.5000 0.5000 0.5000
Cu1 0.1877 0.8123 0.2500
Cu2 0.8123 0.1877 0.7500
Cl1 0.1123 0.2484 0.9259
Cl2 0.1803 0.5855 0.3751
Cl3 0.2484 0.1123 0.4259
Cl4 0.4087 0.5913 0.7500
Cl5 0.4145 0.8197 0.1249
Cl6 0.5855 0.1803 0.8751
Cl7 0.5913 0.4087 0.2500
Cl8 0.7516 0.8877 0.5741
Cl9 0.8197 0.4145 0.6249
Cl10 0.8877 0.7516 0.0741

***

# 3
Entry from Alexandria: crystalline Sm4DyTm4 at its relaxed geometry (GGA-PBE).

Properties
relative energy among the computed polymorphs	0.085	eV/atom
formation energy	0.1080	eV per atom
theoretical density	8.3	g/cm3
crystal system	monoclinic

Cell: 8.8495 8.8495 6.7566 Å, 112.19 112.19 36.58°
Fractional coordinates of all 9 atoms:
Sm1 0.1339 0.1339 0.4609
Sm2 0.2797 0.2797 0.2132
Sm3 0.7203 0.7203 0.7868
Sm4 0.8661 0.8661 0.5391
Dy1 0.5000 0.5000 0.5000
Tm1 0.0712 0.0712 0.8760
Tm2 0.3762 0.3762 0.8259
Tm3 0.6238 0.6238 0.1741
Tm4 0.9288 0.9288 0.1240

***

# 4
Entry from Alexandria: crystalline CeHoTcAu at its relaxed geometry (GGA-PBE).

Properties
formation energy	-0.3138	eV per atom
theoretical density	11.3	g/cm3
crystal system	cubic

Cell: 4.9946 4.9946 4.9946 Å, 60.00 60.00 60.00°
Fractional coordinates of all 4 atoms:
Ce1 0.0000 0.0000 0.0000
Ho1 0.5000 0.5000 0.5000
Tc1 0.7500 0.7500 0.7500
Au1 0.2500 0.2500 0.2500

***

# 5
Entry from Alexandria: crystalline CaTaIn2 at its relaxed geometry (GGA-PBE).

Properties
formation energy	0.3922	eV per atom
theoretical density	7.8	g/cm3
crystal system	orthorhombic

Cell: 3.2491 5.2569 5.6273 Å, 90.00 90.00 90.00°
Fractional coordinates of all 4 atoms:
Ca1 0.0000 0.0000 0.0000
Ta1 0.5000 0.0000 0.5000
In1 0.0000 0.5000 0.5000
In2 0.5000 0.5000 0.0000

***

# 6
Entry from Alexandria: crystalline KZnN2 at its relaxed geometry (GGA-PBE).

Properties
theoretical density	2.4	g/cm3
E_form (uncorrected)	4.87	eV per formula unit
crystal system	trigonal

Cell: 7.5199 7.5199 7.5199 Å, 29.85 29.85 29.85°
Fractional coordinates of all 4 atoms:
K1 0.0000 0.0000 0.0000
Zn1 0.5000 0.5000 0.5000
N1 0.4153 0.4153 0.4153
N2 0.5847 0.5847 0.5847

***

# 7
Entry from Alexandria: crystalline Cr2SiP at its relaxed geometry (GGA-PBE).

Properties
relative energy among the computed polymorphs	0.473	eV/atom
theoretical density	5.6	g/cm3
E_form (uncorrected)	0.57	eV per formula unit
crystal system	cubic

Cell: 4.0886 4.0886 4.0886 Å, 60.00 60.00 60.00°
Fractional coordinates of all 4 atoms:
Cr1 0.0000 0.0000 0.0000
Cr2 0.2500 0.2500 0.2500
Si1 0.5000 0.5000 0.5000
P1 0.7500 0.7500 0.7500

***

# 8
Entry from Alexandria: crystalline LaTbNdHo at its relaxed geometry (GGA-PBE).

Properties
relative energy among the computed polymorphs	0.000	eV/atom
formation energy	0.0283	eV per atom
theoretical density	7.4	g/cm3
crystal system	orthorhombic

Cell: 6.2858 6.2858 6.2858 Å, 131.73 131.63 70.73°
Fractional coordinates of all 4 atoms:
La1 0.0000 0.0000 0.0000
Tb1 0.5003 0.5003 0.0000
Nd1 0.2505 0.7505 0.5000
Ho1 0.7501 0.2501 0.5000

***

# 9
Entry from Alexandria: crystalline La6HoMg5 at its relaxed geometry (GGA-PBE).

Properties
formation energy	-0.0704	eV per atom
theoretical density	4.9	g/cm3
crystal system	monoclinic

Cell: 5.6392 7.9298 8.9602 Å, 90.00 108.38 90.00°
Fractional coordinates of all 12 atoms:
La1 0.0000 0.2394 0.0000
La2 0.0000 0.7606 0.0000
La3 0.3326 0.2472 0.6612
La4 0.3326 0.7528 0.6612
La5 0.6674 0.2472 0.3388
La6 0.6674 0.7528 0.3388
Ho1 0.5000 0.5000 0.0000
Mg1 0.1593 0.5000 0.3231
Mg2 0.1647 0.0000 0.3345
Mg3 0.5000 0.0000 0.0000
Mg4 0.8353 0.0000 0.6655
Mg5 0.8407 0.5000 0.6769

***

# 10
Entry from Alexandria: crystalline BaLi2As at its relaxed geometry (GGA-PBE).

Properties
formation energy	-0.3865	eV per atom
theoretical density	3.4	g/cm3
crystal system	orthorhombic

Cell: 3.4907 4.1465 7.5903 Å, 90.00 90.00 90.00°
Fractional coordinates of all 4 atoms:
Ba1 0.0000 0.0000 0.0000
Li1 0.0000 0.0000 0.4167
Li2 0.5000 0.5000 0.6032
As1 0.5000 0.5000 0.2636

***

Which of these has the highest theoretical density?
Ce4Pu2Tl3

***

The lowest theoretical density belongs to which entry?
KZnN2

***

The highest theoretical density belongs to which entry?
Ce4Pu2Tl3